# 1
! GGA-PBE Pr5NdHo3, optimized geometry; values from VASP
&SYSTEM
  ibrav = 0, nat = 18, ntyp = 3
/
ATOMIC_SPECIES
Ho 164.93 Ho.upf
Pr 140.91 Pr.upf
Nd 144.24 Nd.upf
ATOMIC_POSITIONS angstrom
Ho -5.226 -0.247 -1.373
Ho -0.865 -0.046 -3.245
Ho 0.205 -4.365 0.008
Ho -2.735 -0.142 -7.611
Ho -7.096 -0.343 -5.738
Ho -3.776 -4.560 -4.484
Pr -3.980 -0.195 -4.492
Pr 1.844 -6.257 2.650
Pr -1.250 -6.411 -2.628
Pr -2.339 -6.455 1.560
Pr -6.504 -2.712 -2.938
Pr -1.232 -2.470 -6.037
Pr -5.415 -2.668 -7.127
Pr 2.933 -6.213 -1.538
Pr -2.321 -2.514 -1.848
Pr 0.000 0.000 0.000
Nd 0.458 -4.361 -4.231
Nd -4.029 -4.564 -0.246
CELL_PARAMETERS angstrom
-8.467 -0.398 -0.507
0.507 0.009 -8.477
4.390 -8.536 4.507
! Distance to the lowest polymorph of the same formula (eV per formula unit): 0.08
! Total moment (μB/f.u.): 0.00
! Energy of formation from the pure elements (eV/atom): 0.282
! Raw total energy (eV per atom): -4.429

# 2
! GGA-PBE Fe2AuCl, optimized geometry; values from VASP
&SYSTEM
  ibrav = 0, nat = 4, ntyp = 3
/
ATOMIC_SPECIES
Fe 55.84 Fe.upf
Cl 35.45 Cl.upf
Au 196.97 Au.upf
ATOMIC_POSITIONS angstrom
Fe 4.726 4.726 4.726
Fe 1.575 1.575 1.575
Cl 0.000 0.000 0.000
Au 3.150 3.150 3.150
CELL_PARAMETERS angstrom
0.000 3.150 3.150
3.150 0.000 3.150
3.150 3.150 0.000
! Distance to the lowest polymorph of the same formula (eV per formula unit): 1.77
! Total moment (μB/f.u.): 5.97
! Raw total energy (eV per atom): -4.975

# 3
! GGA-PBE GaPtF6, optimized geometry; values from VASP
&SYSTEM
  ibrav = 0, nat = 8, ntyp = 3
/
ATOMIC_SPECIES
F 19.00 F.upf
Ga 69.72 Ga.upf
Pt 195.08 Pt.upf
ATOMIC_POSITIONS angstrom
F 2.753 3.923 0.609
F 0.764 1.787 -0.482
F 3.177 2.480 2.665
F 3.685 1.102 0.014
F 1.188 0.343 1.575
F 0.256 3.165 2.169
Ga 0.000 0.000 0.000
Pt 1.971 2.133 1.092
CELL_PARAMETERS angstrom
5.081 0.270 -0.858
-1.318 4.546 -2.108
0.178 -0.550 5.149
! Total moment (μB/f.u.): 1.00
! Raw total energy (eV per atom): -4.325

# 4
! GGA-PBE PaCr5P3, optimized geometry; values from VASP
&SYSTEM
  ibrav = 0, nat = 18, ntyp = 3
/
ATOMIC_SPECIES
Cr 52.00 Cr.upf
P 30.97 P.upf
Pa 231.04 Pa.upf
ATOMIC_POSITIONS angstrom
Cr 0.000 2.284 6.011
Cr 0.000 5.000 1.679
Cr 0.000 0.000 0.000
Cr 0.000 5.000 3.852
Cr 1.920 0.817 9.384
Cr 0.000 0.000 5.532
Cr 1.920 3.533 5.052
Cr 1.920 3.533 0.480
Cr 1.920 0.817 7.211
Cr 0.000 2.284 10.583
P 0.000 1.644 8.297
P 0.000 4.537 10.374
P 0.000 4.537 6.220
P 1.920 4.174 2.766
P 1.920 1.280 0.689
P 1.920 1.280 4.843
Pa 1.920 4.066 8.297
Pa 0.000 1.752 2.766
CELL_PARAMETERS angstrom
3.840 0.000 0.000
-1.920 5.817 0.000
0.000 0.000 11.063
! Total moment (μB/f.u.): 0.19
! Energy of formation from the pure elements (eV/atom): -0.529
! Raw total energy (eV per atom): -8.734